1.
VASP calculation (PBE) on a relaxed Be2Co4GeP crystal.

abc: 6.641 6.641 6.641
angles: 33.45 33.45 33.45
Fractional positions:
1 Be 0.247 0.247 0.247
2 Be 0.753 0.753 0.753
3 Co 0.119 0.119 0.119
4 Co 0.370 0.370 0.370
5 Co 0.630 0.630 0.630
6 Co 0.881 0.881 0.881
7 Ge 0.500 0.500 0.500
8 P 0.000 0.000 0.000

crystal system	trigonal
symmetry	R-3m (166)
E_form	-385	meV/atom
DOS at the Fermi energy	0.4659	states/eV per atom

***

2.
VASP calculation (PBE) on a relaxed Pa3Be2Co9Ge crystal.

abc: 5.249 5.249 8.849
angles: 90.00 90.00 120.00
Fractional positions:
1 Pa 0.000 0.000 0.000
2 Pa 0.333 0.667 0.680
3 Pa 0.667 0.333 0.320
4 Be 0.333 0.667 0.151
5 Be 0.667 0.333 0.849
6 Co 0.000 0.500 0.000
7 Co 0.164 0.328 0.298
8 Co 0.164 0.836 0.298
9 Co 0.328 0.164 0.702
10 Co 0.500 0.000 0.000
11 Co 0.500 0.500 0.000
12 Co 0.672 0.836 0.298
13 Co 0.836 0.164 0.702
14 Co 0.836 0.672 0.702
15 Ge 0.000 0.000 0.500

crystal system	trigonal
symmetry	P-3m1 (164)
E_form	-192	meV/atom
DOS at the Fermi energy	1.0820	states/eV per atom

***

3.
VASP calculation (PBE) on a relaxed PaBe2Co4Ge crystal.

abc: 8.161 8.161 8.161
angles: 26.78 26.78 26.78
Fractional positions:
1 Pa 0.000 0.000 0.000
2 Be 0.236 0.236 0.236
3 Be 0.764 0.764 0.764
4 Co 0.129 0.129 0.129
5 Co 0.400 0.400 0.400
6 Co 0.600 0.600 0.600
7 Co 0.871 0.871 0.871
8 Ge 0.500 0.500 0.500

crystal system	trigonal
symmetry	R-3m (166)
E_form	-281	meV/atom
DOS at the Fermi energy	0.8513	states/eV per atom

***

4.
VASP calculation (PBE) on a relaxed Pa2BeCo6Ge crystal.

abc: 5.874 5.874 5.874
angles: 60.00 60.00 60.00
Fractional positions:
1 Pa 0.250 0.250 0.250
2 Pa 0.750 0.750 0.750
3 Be 0.000 0.000 0.000
4 Co 0.235 0.235 0.765
5 Co 0.235 0.765 0.235
6 Co 0.235 0.765 0.765
7 Co 0.765 0.235 0.235
8 Co 0.765 0.235 0.765
9 Co 0.765 0.765 0.235
10 Ge 0.500 0.500 0.500

crystal system	cubic
symmetry	Fm-3m (225)
E_form	-17	meV/atom
DOS at the Fermi energy	1.0713	states/eV per atom

***

5.
VASP calculation (PBE) on a relaxed PmBeCoGe2 crystal.

abc: 5.867 5.867 5.867
angles: 140.32 140.32 57.37
Fractional positions:
1 Pm 0.000 0.000 0.000
2 Be 0.750 0.250 0.500
3 Co 0.250 0.750 0.500
4 Ge 0.372 0.372 0.000
5 Ge 0.628 0.628 0.000

crystal system	tetragonal
symmetry	I-4m2 (119)
E_form	-501	meV/atom
DOS at the Fermi energy	0.6300	states/eV per atom

***

6.
VASP calculation (PBE) on a relaxed Pu2Be4CoGe3 crystal.

abc: 3.924 3.924 9.561
angles: 90.00 90.00 90.00
Fractional positions:
1 Pu 0.000 0.500 0.241
2 Pu 0.500 0.000 0.759
3 Be 0.000 0.000 0.500
4 Be 0.000 0.500 0.877
5 Be 0.500 0.000 0.123
6 Be 0.500 0.500 0.500
7 Co 0.500 0.500 0.000
8 Ge 0.000 0.000 0.000
9 Ge 0.000 0.500 0.636
10 Ge 0.500 0.000 0.364

crystal system	tetragonal
symmetry	P-4m2 (115)
E_form	-252	meV/atom
DOS at the Fermi energy	1.8769	states/eV per atom

***

7.
VASP calculation (PBE) on a relaxed Pu2Be3CoGe4 crystal.

abc: 4.054 4.054 9.497
angles: 90.00 90.00 90.00
Fractional positions:
1 Pu 0.000 0.500 0.246
2 Pu 0.500 0.000 0.754
3 Be 0.000 0.000 0.000
4 Be 0.000 0.500 0.632
5 Be 0.500 0.000 0.368
6 Co 0.500 0.500 0.000
7 Ge 0.000 0.000 0.500
8 Ge 0.000 0.500 0.870
9 Ge 0.500 0.000 0.130
10 Ge 0.500 0.500 0.500

crystal system	tetragonal
symmetry	P-4m2 (115)
E_form	-287	meV/atom
DOS at the Fermi energy	1.7336	states/eV per atom

***

8.
VASP calculation (PBE) on a relaxed BeCoRe2Ge crystal.

abc: 4.544 4.544 4.190
angles: 90.00 90.00 90.00
Fractional positions:
1 Be 0.000 0.000 0.000
2 Co 0.500 0.500 0.000
3 Re 0.000 0.500 0.500
4 Re 0.500 0.000 0.500
5 Ge 0.500 0.500 0.500

crystal system	tetragonal
symmetry	P4/mmm (123)
E_form	1746	meV/atom
DOS at the Fermi energy	1.1070	states/eV per atom

***

9.
VASP calculation (PBE) on a relaxed Sc2Be2Co5Ge crystal.

abc: 8.877 8.877 3.015
angles: 90.00 90.00 90.00
Fractional positions:
1 Sc 0.176 0.324 0.000
2 Sc 0.324 0.824 0.000
3 Sc 0.676 0.176 0.000
4 Sc 0.824 0.676 0.000
5 Be 0.120 0.620 0.000
6 Be 0.380 0.120 0.000
7 Be 0.620 0.880 0.000
8 Be 0.880 0.380 0.000
9 Co 0.000 0.500 0.500
10 Co 0.066 0.789 0.500
11 Co 0.211 0.066 0.500
12 Co 0.289 0.566 0.500
13 Co 0.434 0.289 0.500
14 Co 0.500 0.000 0.500
15 Co 0.566 0.711 0.500
16 Co 0.711 0.434 0.500
17 Co 0.789 0.934 0.500
18 Co 0.934 0.211 0.500
19 Ge 0.000 0.000 0.000
20 Ge 0.500 0.500 0.000

crystal system	tetragonal
symmetry	P4/mbm (127)
E_form	-376	meV/atom
DOS at the Fermi energy	0.6394	states/eV per atom

***

10.
VASP calculation (PBE) on a relaxed SrBeCoGe2 crystal.

abc: 5.487 5.487 5.095
angles: 90.00 90.00 90.00
Fractional positions:
1 Sr 0.000 0.000 0.000
2 Be 0.000 0.000 0.500
3 Co 0.500 0.500 0.500
4 Ge 0.000 0.500 0.000
5 Ge 0.500 0.000 0.000

crystal system	tetragonal
offset from the most stable computed form	1.006	eV per formula unit
symmetry	P4/mmm (123)
E_form	2208	meV/atom
DOS at the Fermi energy	2.2984	states/eV per atom

***

11.
VASP calculation (PBE) on a relaxed SrBeCoGe2 crystal.

abc: 5.571 5.571 4.743
angles: 90.00 90.00 90.00
Fractional positions:
1 Sr 0.000 0.000 0.000
2 Be 0.500 0.500 0.500
3 Co 0.000 0.000 0.500
4 Ge 0.000 0.500 0.000
5 Ge 0.500 0.000 0.000

crystal system	tetragonal
offset from the most stable computed form	0.000	eV per formula unit
symmetry	P4/mmm (123)
E_form	2006	meV/atom
DOS at the Fermi energy	1.3257	states/eV per atom

***

12.
VASP calculation (PBE) on a relaxed BeCoTcGe crystal.

abc: 4.053 4.053 4.053
angles: 60.00 60.00 60.00
Fractional positions:
1 Be 0.000 0.000 0.000
2 Co 0.750 0.750 0.750
3 Tc 0.250 0.250 0.250
4 Ge 0.500 0.500 0.500

crystal system	cubic
symmetry	F-43m (216)
E_form	-115	meV/atom
DOS at the Fermi energy	0.7182	states/eV per atom